Record 1
The following is a DFT calculation (PBE-GGA) of an optimized crystal structure of LiZnGa4.

Lattice parameters (Å, degrees): 4.5046 5.6112 8.6249 90.00 105.14 90.00
Last column: nearest neighbours and their distance in Å.
Fractional positions:
Ga (0.2990, 0.6897, 0.5981)  4 Zn 2.76-2.85, 4 Ga 2.78-2.90, 3 Li 2.80-2.85
Li (0.1490, 0.4444, 0.2980)  9 Ga 2.78-2.86, 3 Zn 2.79-2.88
Ga (0.9983, 0.2052, 0.9966)  8 Ga 2.78-2.90, 2 Li 2.85-2.86
Ga (0.5509, 0.4536, 0.1019)  5 Ga 2.78-2.90, 2 Li 2.78, 1 Zn 2.82
Ga (0.4491, 0.9536, 0.8981)  5 Ga 2.78-2.90, 2 Li 2.78, 1 Zn 2.82
Ga (0.1486, 0.9436, 0.2972)  3 Zn 2.77-2.90, 5 Ga 2.78-2.90, 2 Li 2.80-2.81
Li (0.8510, 0.9444, 0.7020)  9 Ga 2.78-2.86, 3 Zn 2.79-2.88
Ga (0.0017, 0.7052, 0.0034)  8 Ga 2.78-2.90, 2 Li 2.85-2.86
Ga (0.8514, 0.4436, 0.7028)  3 Zn 2.77-2.90, 5 Ga 2.78-2.90, 2 Li 2.80-2.81
Zn (0.3007, 0.1970, 0.6013)  8 Ga 2.76-2.90, 3 Li 2.79-2.88
Ga (0.7010, 0.1897, 0.4019)  4 Zn 2.76-2.85, 4 Ga 2.78-2.90, 3 Li 2.80-2.85
Zn (0.6993, 0.6970, 0.3987)  8 Ga 2.76-2.90, 3 Li 2.79-2.88

Summary:
Calculated total energy: -2.638 eV per atom
ρ: 5.5 g/cm3
Energy of formation: -88 meV/atom
D(E_F): 3.75 states/eV/cell

---

Record 2
The following is a DFT calculation (PBE-GGA) of an optimized crystal structure of LiZn6Ga.

Lattice parameters (Å, degrees): 4.4045 4.4045 8.0801 102.18 102.18 107.22
Last column: nearest neighbours and their distance in Å.
Fractional positions:
Zn (0.2694, 0.6465, 0.1749)  5 Zn 2.59-2.75, 2 Ga 2.67, 1 Li 2.89
Zn (0.9005, 0.9005, 0.3351)  5 Zn 2.49-2.63
Zn (0.6465, 0.2694, 0.1749)  5 Zn 2.59-2.75, 2 Ga 2.67, 1 Li 2.89
Zn (0.7306, 0.3535, 0.8251)  5 Zn 2.59-2.75, 2 Ga 2.67, 1 Li 2.89
Ga (0.0000, 0.0000, 0.0000)  10 Zn 2.67-2.93
Li (0.5000, 0.5000, 0.5000)  8 Zn 2.85-2.94
Zn (0.3535, 0.7306, 0.8251)  5 Zn 2.59-2.75, 2 Ga 2.67, 1 Li 2.89
Zn (0.0995, 0.0995, 0.6649)  5 Zn 2.49-2.63

Summary:
Calculated total energy: -1.557 eV per atom
ρ: 5.6 g/cm3
Energy of formation: 16 meV/atom
D(E_F): 2.03 states/eV/cell